Below is a relaxed Ac3MoCl2O6 crystal, with properties calculated at the PBE+U level.

Computed properties:
DFT total energy = -6.7675 eV per atom
Total moment = 1.000 μB per cell
Space group = C2/m

Cell: 7.0968 7.0968 5.7789 Å, 97.22 97.22 58.95°
With the nearest neighbours (Å) after each atom.
Fractional positions:
Ac: 0.0000 0.0000 0.0000  4 O 2.62, 2 Cl 2.87
Ac: 0.0000 0.5000 0.5000  4 O 2.42-2.44
Ac: 0.5000 0.0000 0.5000  4 O 2.42-2.44
Mo: 0.5000 0.5000 0.5000  6 O 1.93-2.15
Cl: 0.2197 0.2197 0.8926  1 O 2.83, 3 Ac 2.87-2.93
Cl: 0.7803 0.7803 0.1074  1 O 2.83, 3 Ac 2.87-2.93
O: 0.2074 0.6718 0.6910  1 Mo 2.15
O: 0.3282 0.7926 0.3090  1 Mo 2.15
O: 0.3520 0.3520 0.3363  1 Mo 1.93
O: 0.6480 0.6480 0.6637  1 Mo 1.93
O: 0.6718 0.2074 0.6910  1 Mo 2.15
O: 0.7926 0.3282 0.3090  1 Mo 2.15